[1]
A geometry-optimized Sm6Dy3TmSc2 structure. Source: the Alexandria database, functional GGA-PBE.

abc: 6.1434 6.1434 11.5900
angles: 95.06 95.06 119.97
Element x y z (fractional)
Sm 0.0820 0.4179 0.2439
Sm 0.4179 0.0820 0.2439
Sm 0.9180 0.5821 0.7561
Sm 0.2539 0.2539 0.7560
Sm 0.5821 0.9180 0.7561
Sm 0.7461 0.7461 0.2440
Sc 0.6666 0.3334 0.0000
Sc 0.3334 0.6666 0.0000
Dy 0.8333 0.1667 0.5000
Dy 0.5000 0.5000 0.5000
Dy 0.1667 0.8333 0.5000
Tm 0.0000 0.0000 0.0000

Results
The calculation puts the formation enthalpy at 0 K at 0.0355 eV per atom.

---

[2]
A geometry-optimized Nd3YHo6Th2 structure. Source: the Alexandria database, functional GGA-PBE.

abc: 6.2043 6.2043 11.7878
angles: 95.04 95.04 119.97
Element x y z (fractional)
Ho 0.9181 0.5800 0.7548
Ho 0.7438 0.7438 0.2456
Ho 0.2562 0.2562 0.7544
Ho 0.5800 0.9181 0.7548
Ho 0.0819 0.4200 0.2452
Ho 0.4200 0.0819 0.2452
Nd 0.5000 0.5000 0.5000
Nd 0.1663 0.8337 0.5000
Nd 0.8337 0.1663 0.5000
Th 0.6665 0.3335 0.0000
Th 0.3335 0.6665 0.0000
Y 0.0000 0.0000 0.0000

Results
The calculation puts the formation enthalpy at 0 K at 0.0196 eV per atom.

---

[3]
A geometry-optimized CrGe2C structure. Source: the Alexandria database, functional GGA-PBE.

abc: 6.0926 6.0926 5.1579
angles: 53.80 53.80 90.00
Element x y z (fractional)
C 0.5000 0.5000 0.0000
C 0.2500 0.7500 0.5000
Cr 0.7500 0.2500 0.5000
Cr 0.0000 0.0000 0.0000
Ge 0.3750 0.4400 0.7500
Ge 0.5600 0.1250 0.2500
Ge 0.8750 0.8100 0.7500
Ge 0.1900 0.6250 0.2500

Results
The calculation puts the formation enthalpy at 0 K at 0.9706 eV per atom.

---

[4]
A geometry-optimized ScSnPd2Ru structure. Source: the Alexandria database, functional GGA-PBE.

abc: 4.8318 4.8940 4.8318
angles: 90.00 90.00 90.00
Element x y z (fractional)
Pd 0.5000 0.0000 0.0000
Pd 0.0000 0.0000 0.5000
Ru 0.0000 0.5000 0.0000
Sn 0.0000 0.0000 0.0000
Sc 0.5000 0.5000 0.5000

Results
The calculation puts the formation enthalpy at 0 K at 0.4908 eV per atom.

---

[5]
A geometry-optimized Na2AgPtN structure. Source: the Alexandria database, functional GGA-PBE.

abc: 5.1187 5.1187 3.7412
angles: 90.00 90.00 90.00
Element x y z (fractional)
N 0.0000 0.0000 0.0000
Na 0.0000 0.5000 0.0000
Na 0.5000 0.0000 0.0000
Ag 0.5000 0.5000 0.5000
Pt 0.0000 0.0000 0.5000

Results
Its raw formation energy is -26 meV per atom.

---

[6]
A geometry-optimized DyThCu4 structure. Source: the Alexandria database, functional GGA-PBE.

abc: 4.3398 5.5273 5.5273
angles: 77.69 66.88 66.88
Element x y z (fractional)
Cu 0.1667 0.6252 0.0413
Cu 0.8352 0.8712 0.4584
Cu 0.8352 0.4584 0.8712
Cu 0.1667 0.0413 0.6252
Dy 0.5323 0.4677 0.4677
Th 0.4638 0.0362 0.0362

Results
The calculation puts the formation enthalpy at 0 K at -0.2292 eV per atom.

---

[7]
A geometry-optimized KAuO structure. Source: the Alexandria database, functional GGA-PBE.

abc: 5.1752 6.0969 5.7558
angles: 90.00 116.72 90.00
Element x y z (fractional)
O 0.8673 0.7500 0.7346
O 0.1327 0.2500 0.2654
K 0.3022 0.7500 0.6044
K 0.6978 0.2500 0.3956
Au 0.0000 0.5000 0.0000
Au 0.0000 0.0000 0.0000

Results
Its raw formation energy is -826 meV per atom.

---

[8]
A geometry-optimized Tm3GaAg2 structure. Source: the Alexandria database, functional GGA-PBE.

abc: 3.5383 3.5383 10.8595
angles: 90.00 90.00 90.00
Element x y z (fractional)
Tm 0.0000 0.0000 0.6624
Tm 0.0000 0.0000 0.0000
Tm 0.0000 0.0000 0.3376
Ag 0.5000 0.5000 0.1702
Ag 0.5000 0.5000 0.8298
Ga 0.5000 0.5000 0.5000

Results
The calculation puts the formation enthalpy at 0 K at -0.4252 eV per atom.

---

[9]
A geometry-optimized La2NdTlIr structure. Source: the Alexandria database, functional GGA-PBE.

abc: 5.5358 5.5358 5.6836
angles: 90.00 90.00 90.00
Element x y z (fractional)
La 0.5000 0.0000 0.9998
La 0.0000 0.5000 0.9998
Nd 0.0000 0.0000 0.4999
Ir 0.0000 0.0000 0.9999
Tl 0.5000 0.5000 0.5005

Results
The calculation puts the formation enthalpy at 0 K at -0.3845 eV per atom.

---

[10]
A geometry-optimized Hf2P2Rh structure. Source: the Alexandria database, functional GGA-PBE.

abc: 6.7223 6.7223 3.5495
angles: 90.00 90.00 90.00
Element x y z (fractional)
Hf 0.8392 0.3392 0.5000
Hf 0.6608 0.8392 0.5000
Hf 0.3392 0.1608 0.5000
Hf 0.1608 0.6608 0.5000
Rh 0.0000 0.0000 0.0000
Rh 0.5000 0.5000 0.0000
P 0.6451 0.1451 0.0000
P 0.3549 0.8549 0.0000
P 0.1451 0.3549 0.0000
P 0.8549 0.6451 0.0000

Results
The calculation puts the formation enthalpy at 0 K at -0.9928 eV per atom.

---

[11]
A geometry-optimized CdIn6Br12 structure. Source: the Alexandria database, functional GGA-PBE.

abc: 11.2677 11.2656 11.2643
angles: 115.70 115.77 115.75
Element x y z (fractional)
Br 0.2022 0.5325 0.4015
Br 0.0703 0.3552 0.8761
Br 0.4670 0.5980 0.7974
Br 0.5979 0.7973 0.4669
Br 0.3558 0.8771 0.0712
Br 0.1236 0.9298 0.6449
Br 0.8764 0.0702 0.3551
Br 0.5330 0.4020 0.2026
Br 0.4021 0.2027 0.5331
Br 0.7978 0.4675 0.5985
Br 0.9297 0.6448 0.1239
Br 0.6442 0.1229 0.9288
In 0.3779 0.1375 0.2314
In 0.2308 0.3774 0.1369
In 0.7692 0.6226 0.8631
In 0.8629 0.7691 0.6226
In 0.6221 0.8625 0.7686
In 0.1371 0.2309 0.3774
Cd 0.0000 0.0000 0.0000

Results
Its raw formation energy is -545 meV per atom.

---

[12]
A geometry-optimized IrPbBr structure. Source: the Alexandria database, functional GGA-PBE.

abc: 4.6097 4.6097 3.5466
angles: 90.00 90.00 120.00
Element x y z (fractional)
Ir 0.6667 0.3333 0.1675
Pb 0.3333 0.6667 0.6662
Br 0.0000 0.0000 0.1663

Results
Its raw formation energy is 513 meV per atom.